{"formula": "U5Ge3", "functional": "PBE", "state": "relaxed", "total_magnetization_mub_per_cell": 16.19, "sg": "Fdd2 (43)", "e_above_lowest_polymorph_mev_per_atom": 11, "volume_a3_per_cell": 345.86, "dft_energy_ev_per_atom": -8.811, "e_form_mev_per_atom": -24, "crystal_system": "orthorhombic", "lattice_angstrom": [[-3.6777, 4.4015, -0.2618], [-5.7209, -1.3522, -5.3302], [-6.4041, -1.2700, 5.6495]], "species": ["U", "U", "U", "U", "U", "U", "U", "U", "U", "U", "Ge", "Ge", "Ge", "Ge", "Ge", "Ge"], "fractional_positions": [[0.1799, 0.2109, 0.3305], [0.7604, 0.7109, 0.1695], [0.5287, 0.7109, 0.8305], [0.0795, 0.6020, 0.3422], [0.3185, 0.6020, 0.6578], [0.0249, 0.9502, 0.5000], [0.6717, 0.1020, 0.1578], [0.2263, 0.1020, 0.8422], [0.7749, 0.4502, 0.0000], [0.6092, 0.2109, 0.6695], [0.2977, 0.4045, 0.0000], [0.8756, 0.9013, 0.8526], [0.6204, 0.4013, 0.3526], [0.9783, 0.4013, 0.6474], [0.5477, 0.9045, 0.5000], [0.2231, 0.9013, 0.1473]]}


{"formula": "MgTl2Cd", "functional": "PBE", "state": "relaxed", "total_magnetization_mub_per_cell": 0.00, "sg": "Pm (6)", "e_above_lowest_polymorph_mev_per_atom": 35, "volume_a3_per_cell": 106.06, "dft_energy_ev_per_atom": -1.781, "e_form_mev_per_atom": 29, "crystal_system": "monoclinic", "lattice_angstrom": [[5.7702, 0.0000, 0.0000], [0.0000, 3.4473, -0.2093], [0.0000, 0.3376, 5.3117]], "species": ["Mg", "Tl", "Tl", "Cd"], "fractional_positions": [[0.5000, 0.8719, 0.6901], [0.5000, 0.3736, 0.1934], [0.0000, 0.8764, 0.0560], [0.0000, 0.3781, 0.5605]]}


{"formula": "Y3TlHg2", "functional": "PBE", "state": "relaxed", "total_magnetization_mub_per_cell": 0.00, "sg": "P4/mmm (123)", "volume_a3_per_cell": 158.56, "dft_energy_ev_per_atom": -4.193, "e_form_mev_per_atom": -466, "crystal_system": "tetragonal", "lattice_angstrom": [[-3.2609, 0.9363, 1.5848], [-1.7746, -0.7428, -3.2126], [-1.4765, -10.7165, 3.2933]], "species": ["Tl", "Hg", "Hg", "Y", "Y", "Y"], "fractional_positions": [[0.5000, 0.5000, 0.5000], [0.5000, 0.5000, 0.8387], [0.5000, 0.5000, 0.1613], [0.0000, 0.0000, 0.6743], [0.0000, 0.0000, 0.3257], [0.0000, 0.0000, 0.0000]]}


{"formula": "La4TbTl2", "functional": "PBE", "state": "relaxed", "total_magnetization_mub_per_cell": 0.00, "sg": "R-3m (166)", "e_above_lowest_polymorph_mev_per_atom": 159, "volume_a3_per_cell": 257.38, "dft_energy_ev_per_atom": -4.170, "e_form_mev_per_atom": -17, "crystal_system": "trigonal", "lattice_angstrom": [[-1.0233, 5.3300, -1.6699], [-5.2267, 2.1690, 0.4711], [-0.0590, 5.5396, 8.0627]], "species": ["La", "La", "La", "La", "Tb", "Tl", "Tl"], "fractional_positions": [[0.2711, 0.2711, 0.1866], [0.7289, 0.7289, 0.8134], [0.8703, 0.8703, 0.3890], [0.1297, 0.1297, 0.6110], [0.5000, 0.5000, 0.5000], [0.3893, 0.3893, 0.8320], [0.6107, 0.6107, 0.1680]]}


{"formula": "Ce2Al2BOs2", "functional": "PBE", "state": "relaxed", "total_magnetization_mub_per_cell": 0.83, "sg": "C2/m (12)", "volume_a3_per_cell": 133.39, "dft_energy_ev_per_atom": -7.332, "e_form_mev_per_atom": -405, "crystal_system": "monoclinic", "lattice_angstrom": [[-3.4639, 0.7665, -2.7555], [-0.1695, -4.1562, -4.6047], [-4.4851, -3.2755, 1.0653]], "species": ["Ce", "Ce", "Al", "Al", "Os", "Os", "B"], "fractional_positions": [[0.5567, 0.1786, 0.7080], [0.4433, 0.8214, 0.2920], [0.1609, 0.3893, 0.2890], [0.8391, 0.6107, 0.7110], [0.2123, 0.6880, 0.8875], [0.7877, 0.3120, 0.1125], [0.0000, 0.0000, 0.0000]]}


{"formula": "Y2B2Rh5Pb", "functional": "PBE", "state": "relaxed", "total_magnetization_mub_per_cell": 0.00, "sg": "P4/mbm (127)", "volume_a3_per_cell": 309.48, "dft_energy_ev_per_atom": -7.376, "e_form_mev_per_atom": -701, "crystal_system": "tetragonal", "lattice_angstrom": [[-3.2450, 0.0374, 0.6535], [1.8815, -1.1809, 9.4103], [0.3393, 9.5959, 1.1363]], "species": ["Y", "Y", "Y", "Y", "B", "B", "B", "B", "Rh", "Rh", "Rh", "Rh", "Rh", "Rh", "Rh", "Rh", "Rh", "Rh", "Pb", "Pb"], "fractional_positions": [[0.0000, 0.8243, 0.6757], [0.0000, 0.1757, 0.3243], [0.0000, 0.3243, 0.8243], [0.0000, 0.6757, 0.1757], [0.0000, 0.1206, 0.6206], [0.0000, 0.6206, 0.8794], [0.0000, 0.3794, 0.1206], [0.0000, 0.8794, 0.3794], [0.5000, 0.2709, 0.5708], [0.5000, 0.0708, 0.7709], [0.5000, 0.9292, 0.2291], [0.5000, 0.2291, 0.0708], [0.5000, 0.7291, 0.4292], [0.5000, 0.5000, 0.0000], [0.5000, 0.5708, 0.7291], [0.5000, 0.0000, 0.5000], [0.5000, 0.4292, 0.2709], [0.5000, 0.7709, 0.9292], [0.0000, 0.0000, 0.0000], [0.0000, 0.5000, 0.5000]]}


{"formula": "Pa2Si4OsPt3", "functional": "PBE", "state": "relaxed", "raw_formation_energy_ev_per_atom": -0.9139, "total_magnetization_mub_per_cell": 0.35, "sg": "P-4m2 (115)", "volume_a3_per_cell": 171.50, "dft_energy_ev_per_atom": -7.917, "crystal_system": "tetragonal", "lattice_angstrom": [[-3.0310, -1.8282, -2.1915], [2.8507, -2.0924, -2.1971], [-0.3247, -7.3685, 6.5962]], "species": ["Os", "Si", "Si", "Si", "Si", "Pt", "Pt", "Pt", "Pa", "Pa"], "fractional_positions": [[0.5000, 0.5000, 0.5000], [0.0000, 0.5000, 0.3655], [0.5000, 0.0000, 0.6345], [0.5000, 0.5000, 0.0000], [0.0000, 0.0000, 0.0000], [0.0000, 0.5000, 0.1241], [0.0000, 0.0000, 0.5000], [0.5000, 0.0000, 0.8759], [0.0000, 0.5000, 0.7489], [0.5000, 0.0000, 0.2511]]}


{"formula": "TmLuCdPb", "functional": "PBE", "state": "relaxed", "total_magnetization_mub_per_cell": 0.00, "sg": "F-43m (216)", "volume_a3_per_cell": 103.58, "dft_energy_ev_per_atom": -3.708, "e_form_mev_per_atom": -304, "crystal_system": "cubic", "lattice_angstrom": [[5.2714, 0.0000, 0.0000], [2.6357, 4.5652, 0.0000], [2.6357, 1.5217, 4.3041]], "species": ["Lu", "Pb", "Cd", "Tm"], "fractional_positions": [[0.0000, 0.0000, 0.0000], [0.2500, 0.2500, 0.2500], [0.7500, 0.7500, 0.7500], [0.5000, 0.5000, 0.5000]]}